{"formula": "LiGa3As", "functional": "GGA-PBE", "state": "optimized geometry", "total_magnetization_mub_per_fu": 0.0, "polymorph_energy_ev_per_fu": 0.09, "final_energy_ev_per_cell": -13.96, "n_ef_per_ev_cell": 4.2, "e_form_ev_per_atom": 0.337, "lattice_angstrom": [[4.6554, 0.0000, 0.0000], [0.0000, 4.6554, 0.0000], [0.0000, 0.0000, 4.6554]], "species": ["Li", "Ga", "Ga", "Ga", "As"], "frac_coords": [[0.0000, 0.0000, 0.0000], [0.0000, 0.0000, 0.5000], [0.0000, 0.5000, 0.0000], [0.5000, 0.0000, 0.0000], [0.5000, 0.5000, 0.5000]]}